1.
# Pr3Nd5Pb2 | the Alexandria database | GGA-PBE | relaxed
data_Pr3Nd5Pb2
_chemical_formula_sum 'Pr6 Nd10 Pb4'
_symmetry_space_group_name_H-M 'P 1'
_symmetry_Int_Tables_number 1
_cell_length_a 6.679
_cell_length_b 10.881
_cell_length_c 10.881
_cell_angle_alpha 94.27
_cell_angle_beta 72.13
_cell_angle_gamma 72.13
loop_
_symmetry_equiv_pos_as_xyz
'x,y,z'
loop_
_atom_site_label
_atom_site_type_symbol
_atom_site_fract_x
_atom_site_fract_y
_atom_site_fract_z
Pr1 Pr 0.250 0.000 0.000
Pr2 Pr 0.750 0.000 0.000
Pr3 Pr 0.370 0.353 0.907
Pr4 Pr 0.630 0.647 0.093
Pr5 Pr 0.870 0.907 0.353
Pr6 Pr 0.130 0.093 0.647
Nd1 Nd 0.250 0.500 0.500
Nd2 Nd 0.750 0.500 0.500
Nd3 Nd 0.503 0.747 0.747
Nd4 Nd 0.997 0.253 0.253
Nd5 Nd 0.497 0.253 0.253
Nd6 Nd 0.003 0.747 0.747
Nd7 Nd 0.092 0.569 0.246
Nd8 Nd 0.908 0.431 0.754
Nd9 Nd 0.592 0.246 0.569
Nd10 Nd 0.408 0.754 0.431
Pb1 Pb 0.137 0.714 0.012
Pb2 Pb 0.863 0.286 0.988
Pb3 Pb 0.637 0.012 0.714
Pb4 Pb 0.363 0.988 0.286
# - volume (Å³ per atom) = 35.19
# - formation enthalpy at 0 K (eV/atom) = -0.017
# - space group = Ibam (72)

2.
# GaHRu2 | the Alexandria database | GGA-PBE | relaxed
data_GaHRu2
_chemical_formula_sum 'Ga1 H1 Ru2'
_symmetry_space_group_name_H-M 'P 1'
_symmetry_Int_Tables_number 1
_cell_length_a 4.098
_cell_length_b 4.098
_cell_length_c 4.098
_cell_angle_alpha 60.00
_cell_angle_beta 60.00
_cell_angle_gamma 60.00
loop_
_symmetry_equiv_pos_as_xyz
'x,y,z'
loop_
_atom_site_label
_atom_site_type_symbol
_atom_site_fract_x
_atom_site_fract_y
_atom_site_fract_z
Ru1 Ru 0.250 0.250 0.250
Ru2 Ru 0.750 0.750 0.750
Ga1 Ga 0.500 0.500 0.500
H1 H 0.000 0.000 0.000
# - volume (Å³ per atom) = 12.17
# - energy above the most stable polymorph in this dataset (meV per atom) = 592
# - space group = Fm-3m (225)